--- i ---
A relaxed structure of InBi3Cl. Source: the Alexandria database, functional PBE.

Unit cell a=5.7851 b=5.7851 c=5.7851 alpha=90.00 beta=90.00 gamma=90.00
With the nearest neighbours (Å) after each atom.
Fractional coordinates of all 5 atoms:
1 Cl 0.5000 0.5000 0.5000  12 Bi 4.09
2 Bi 0.0000 0.5000 0.0000  2 In 2.89
3 Bi 0.0000 0.0000 0.5000  2 In 2.89
4 Bi 0.5000 0.0000 0.0000  2 In 2.89
5 In 0.0000 0.0000 0.0000  6 Bi 2.89

Symmetry: Pm-3m (221)
Magnetic moment in Bohr magnetons per cell: 0.0
Crystal system: cubic

=====

--- ii ---
A relaxed structure of InBi3Cl. Source: the Alexandria database, functional PBE.

Unit cell a=5.6080 b=5.6080 c=5.6080 alpha=90.00 beta=90.00 gamma=90.00
With the nearest neighbours (Å) after each atom.
Fractional coordinates of all 5 atoms:
1 Cl 0.0000 0.0000 0.0000  6 Bi 2.80
2 Bi 0.0000 0.5000 0.0000  2 Cl 2.80
3 Bi 0.0000 0.0000 0.5000  2 Cl 2.80
4 Bi 0.5000 0.0000 0.0000  2 Cl 2.80
5 In 0.5000 0.5000 0.5000  12 Bi 3.97

Symmetry: Pm-3m (221)
Magnetic moment in Bohr magnetons per cell: 0.0
Crystal system: cubic

=====

--- iii ---
A relaxed structure of InBi3Cl. Source: the Alexandria database, functional PBE.

Unit cell a=6.7333 b=10.3269 c=10.3269 alpha=99.75 beta=80.53 gamma=80.53
With the nearest neighbours (Å) after each atom.
Fractional coordinates of all 20 atoms:
1 In 0.2500 0.1931 0.8069  2 Cl 2.63
2 In 0.7500 0.8069 0.1931  2 Cl 2.63
3 In 0.2500 0.6637 0.3363  2 Cl 3.00
4 In 0.7500 0.3363 0.6637  2 Cl 3.00
5 Bi 0.4969 0.3472 0.9940  3 Bi 3.10-3.15, 1 In 3.15
6 Bi 0.0031 0.0060 0.6528  3 Bi 3.10-3.15, 1 In 3.15
7 Bi 0.5031 0.6528 0.0060  3 Bi 3.10-3.15, 1 In 3.15
8 Bi 0.9969 0.9940 0.3472  3 Bi 3.10-3.15, 1 In 3.15
9 Bi 0.1070 0.8361 0.9744  3 Bi 3.10-3.37, 1 In 3.11
10 Bi 0.3930 0.0256 0.1639  3 Bi 3.10-3.37, 1 In 3.11
11 Bi 0.8930 0.1639 0.0256  3 Bi 3.10-3.37, 1 In 3.11
12 Bi 0.6070 0.9744 0.8361  3 Bi 3.10-3.37, 1 In 3.11
13 Bi 0.3912 0.3248 0.2932  4 Bi 3.11-3.40, 1 Cl 3.30, 1 In 3.40
14 Bi 0.1088 0.7068 0.6752  4 Bi 3.11-3.40, 1 Cl 3.30, 1 In 3.40
15 Bi 0.6088 0.6752 0.7068  4 Bi 3.11-3.40, 1 Cl 3.30, 1 In 3.40
16 Bi 0.8912 0.2932 0.3248  4 Bi 3.11-3.40, 1 Cl 3.30, 1 In 3.40
17 Cl 0.9305 0.5625 0.1979  1 In 2.63
18 Cl 0.5695 0.8021 0.4375  1 In 2.63
19 Cl 0.0695 0.4375 0.8021  1 In 2.63
20 Cl 0.4305 0.1979 0.5625  1 In 2.63

Symmetry: C2/c (15)
Magnetic moment in Bohr magnetons per cell: 0.0
Crystal system: monoclinic

=====

Stability comparison, relative energies in meV/atom: i 704; ii 667; iii 0

=====

--- i ---
A relaxed structure of InBiP2Cl. Source: the Alexandria database, functional PBE.

Unit cell a=5.6219 b=5.6219 c=5.7217 alpha=90.00 beta=90.00 gamma=90.00
With the nearest neighbours (Å) after each atom.
Fractional coordinates of all 5 atoms:
1 P 0.0000 0.5000 0.0000  2 Bi 2.81
2 P 0.5000 0.0000 0.0000  2 Bi 2.81
3 Cl 0.0000 0.0000 0.5000  2 Bi 2.86
4 Bi 0.0000 0.0000 0.0000  4 P 2.81, 2 Cl 2.86
5 In 0.5000 0.5000 0.5000  4 Cl 3.98, 8 P 4.01

Symmetry: P4/mmm (123)
Magnetic moment in Bohr magnetons per cell: 1.9
Crystal system: tetragonal

=====

--- ii ---
A relaxed structure of InBiP2Cl. Source: the Alexandria database, functional PBE.

Unit cell a=5.2108 b=5.2108 c=5.0762 alpha=90.00 beta=90.00 gamma=90.00
With the nearest neighbours (Å) after each atom.
Fractional coordinates of all 5 atoms:
1 P 0.0000 0.5000 0.0000  2 In 2.61
2 P 0.5000 0.0000 0.0000  2 In 2.61
3 Cl 0.0000 0.0000 0.5000  2 In 2.54
4 Bi 0.5000 0.5000 0.5000  8 P 3.64, 4 Cl 3.68
5 In 0.0000 0.0000 0.0000  2 Cl 2.54, 4 P 2.61

Symmetry: P4/mmm (123)
Magnetic moment in Bohr magnetons per cell: 0.0
Crystal system: tetragonal

=====

Stability comparison, relative energies in meV/atom: i 89; ii 0

=====

--- i ---
A relaxed structure of InBiS2Cl. Source: the Alexandria database, functional PBE.

Unit cell a=4.1214 b=7.8327 c=11.1962 alpha=115.31 beta=90.00 gamma=90.00
With the nearest neighbours (Å) after each atom.
Fractional coordinates of all 10 atoms:
1 In 0.2500 0.3535 0.5689  3 S 2.61-2.66
2 In 0.7500 0.6465 0.4311  3 S 2.61-2.66
3 Bi 0.2500 0.3129 0.0506  3 S 2.71-2.78, 2 Cl 2.87
4 Bi 0.7500 0.6871 0.9494  3 S 2.71-2.78, 2 Cl 2.87
5 S 0.7500 0.5804 0.6454  3 In 2.61-2.66
6 S 0.2500 0.4196 0.3546  3 In 2.61-2.66
7 S 0.7500 0.5742 0.1474  3 Bi 2.71-2.78, 1 In 2.98
8 S 0.2500 0.4258 0.8526  3 Bi 2.71-2.78, 1 In 2.98
9 Cl 0.2500 0.9346 0.1097  2 Bi 2.87
10 Cl 0.7500 0.0654 0.8903  2 Bi 2.87

Symmetry: P2_1/m (11)
Magnetic moment in Bohr magnetons per cell: 0.0
Crystal system: monoclinic

=====

--- ii ---
A relaxed structure of InBiS2Cl. Source: the Alexandria database, functional PBE.

Unit cell a=5.1198 b=5.1198 c=4.9794 alpha=90.00 beta=90.00 gamma=90.00
With the nearest neighbours (Å) after each atom.
Fractional coordinates of all 5 atoms:
1 S 0.0000 0.5000 0.0000  2 In 2.56
2 S 0.5000 0.0000 0.0000  2 In 2.56
3 Cl 0.0000 0.0000 0.5000  2 In 2.49
4 Bi 0.5000 0.5000 0.5000  8 S 3.57, 4 Cl 3.62
5 In 0.0000 0.0000 0.0000  2 Cl 2.49, 4 S 2.56

Symmetry: P4/mmm (123)
Magnetic moment in Bohr magnetons per cell: 0.0
Crystal system: tetragonal

=====

Stability comparison, relative energies in meV/atom: i 0; ii 394

=====

--- i ---
A relaxed structure of BiIrCl2. Source: the Alexandria database, functional PBE.

Unit cell a=10.6752 b=10.6752 c=10.6752 alpha=19.02 beta=19.02 gamma=19.02
With the nearest neighbours (Å) after each atom.
Fractional coordinates of all 4 atoms:
1 Ir 0.5000 0.5000 0.5000  6 Cl 2.44
2 Bi 0.0000 0.0000 0.0000  6 Bi 3.53, 2 Cl 3.89
3 Cl 0.8763 0.8763 0.8763  3 Ir 2.44
4 Cl 0.1237 0.1237 0.1237  3 Ir 2.44

Symmetry: R-3m (166)
Magnetic moment in Bohr magnetons per cell: 0.8
Crystal system: trigonal

=====

--- ii ---
A relaxed structure of BiIrCl2. Source: the Alexandria database, functional PBE.

Unit cell a=4.8636 b=4.8636 c=4.8636 alpha=60.00 beta=60.00 gamma=60.00
With the nearest neighbours (Å) after each atom.
Fractional coordinates of all 4 atoms:
1 Ir 0.0000 0.0000 0.0000  8 Cl 2.98
2 Bi 0.5000 0.5000 0.5000  8 Cl 2.98
3 Cl 0.2500 0.2500 0.2500  4 Bi 2.98, 4 Ir 2.98
4 Cl 0.7500 0.7500 0.7500  4 Ir 2.98, 4 Bi 2.98

Symmetry: Fm-3m (225)
Magnetic moment in Bohr magnetons per cell: 0.5
Crystal system: cubic

=====

Stability comparison, relative energies in meV/atom: i 0; ii 427

=====

--- i ---
A relaxed structure of BiIrCl2. Source: the Alexandria database, functional PBE.

Unit cell a=9.5291 b=9.5291 c=9.5291 alpha=19.82 beta=19.82 gamma=19.82
With the nearest neighbours (Å) after each atom.
Fractional coordinates of all 4 atoms:
1 Ir 0.0000 0.0000 0.0000  2 Cl 2.27
2 Bi 0.5000 0.5000 0.5000  6 Cl 3.05, 6 Bi 3.28
3 Cl 0.9189 0.9189 0.9189  1 Ir 2.27
4 Cl 0.0811 0.0811 0.0811  1 Ir 2.27

Symmetry: R-3m (166)
Magnetic moment in Bohr magnetons per cell: 0.0
Crystal system: trigonal

=====

--- ii ---
A relaxed structure of BiIrCl2. Source: the Alexandria database, functional PBE.

Unit cell a=8.8355 b=8.8355 c=6.8056 alpha=49.52 beta=49.52 gamma=90.00
With the nearest neighbours (Å) after each atom.
Fractional coordinates of all 8 atoms:
1 Ir 0.5000 0.5000 0.0000  4 Cl 2.49, 2 Bi 2.70
2 Ir 0.2500 0.7500 0.5000  4 Cl 2.49, 2 Bi 2.70
3 Bi 0.0000 0.0000 0.0000  2 Ir 2.70
4 Bi 0.7500 0.2500 0.5000  2 Ir 2.70
5 Cl 0.4818 0.1250 0.2500  2 Ir 2.49
6 Cl 0.2682 0.6250 0.2500  2 Ir 2.49
7 Cl 0.3750 0.5182 0.7500  2 Ir 2.49
8 Cl 0.8750 0.7318 0.7500  2 Ir 2.49

Symmetry: I-42d (122)
Magnetic moment in Bohr magnetons per cell: 0.0
Crystal system: tetragonal

=====

Stability comparison, relative energies in meV/atom: i 0; ii 9

=====

--- i ---
A relaxed structure of BiIrCl3. Source: the Alexandria database, functional PBE.

Unit cell a=5.4663 b=5.4663 c=5.4663 alpha=90.00 beta=90.00 gamma=90.00
With the nearest neighbours (Å) after each atom.
Fractional coordinates of all 5 atoms:
1 Ir 0.5000 0.5000 0.5000  12 Cl 3.87
2 Bi 0.0000 0.0000 0.0000  6 Cl 2.73
3 Cl 0.0000 0.5000 0.0000  2 Bi 2.73
4 Cl 0.0000 0.0000 0.5000  2 Bi 2.73
5 Cl 0.5000 0.0000 0.0000  2 Bi 2.73

Symmetry: Pm-3m (221)
Magnetic moment in Bohr magnetons per cell: 3.1
Crystal system: cubic

=====

--- ii ---
A relaxed structure of BiIrCl3. Source: the Alexandria database, functional PBE.

Unit cell a=4.8430 b=4.8430 c=4.8430 alpha=90.00 beta=90.00 gamma=90.00
With the nearest neighbours (Å) after each atom.
Fractional coordinates of all 5 atoms:
1 Ir 0.0000 0.0000 0.0000  6 Cl 2.42
2 Bi 0.5000 0.5000 0.5000  12 Cl 3.42
3 Cl 0.0000 0.5000 0.0000  2 Ir 2.42
4 Cl 0.0000 0.0000 0.5000  2 Ir 2.42
5 Cl 0.5000 0.0000 0.0000  2 Ir 2.42

Symmetry: Pm-3m (221)
Magnetic moment in Bohr magnetons per cell: 0.0
Crystal system: cubic

=====

Stability comparison, relative energies in meV/atom: i 506; ii 0

=====

--- i ---
A relaxed structure of Bi2IrCl. Source: the Alexandria database, functional PBE.

Unit cell a=3.9063 b=3.9063 c=8.1972 alpha=76.22 beta=76.22 gamma=60.00
With the nearest neighbours (Å) after each atom.
Fractional coordinates of all 4 atoms:
1 Ir 0.0000 0.0000 0.0000  6 Bi 2.78
2 Bi 0.2648 0.2648 0.2056  3 Ir 2.78
3 Bi 0.7352 0.7352 0.7944  3 Ir 2.78
4 Cl 0.5000 0.5000 0.5000  6 Bi 3.24

Symmetry: R-3m (166)
Magnetic moment in Bohr magnetons per cell: 0.0
Crystal system: trigonal

=====

--- ii ---
A relaxed structure of Bi2IrCl. Source: the Alexandria database, functional PBE.

Unit cell a=6.5412 b=6.5412 c=7.9724 alpha=65.78 beta=65.78 gamma=90.00
With the nearest neighbours (Å) after each atom.
Fractional coordinates of all 8 atoms:
1 Ir 0.0000 0.0000 0.0000  4 Bi 2.61
2 Ir 0.7500 0.2500 0.5000  4 Bi 2.61
3 Bi 0.6886 0.1250 0.2500  2 Ir 2.61
4 Bi 0.0614 0.6250 0.2500  2 Ir 2.61
5 Bi 0.3750 0.3114 0.7500  2 Ir 2.61
6 Bi 0.8750 0.9386 0.7500  2 Ir 2.61
7 Cl 0.5000 0.5000 0.0000  4 Bi 3.08
8 Cl 0.2500 0.7500 0.5000  4 Bi 3.08

Symmetry: I-42d (122)
Magnetic moment in Bohr magnetons per cell: 0.0
Crystal system: tetragonal

=====

Stability comparison, relative energies in meV/atom: i 0; ii 295

=====

--- i ---
A relaxed structure of BiIr2Cl. Source: the Alexandria database, functional PBE.

Unit cell a=4.9435 b=4.9435 c=7.9915 alpha=71.98 beta=71.98 gamma=90.00
With the nearest neighbours (Å) after each atom.
Fractional coordinates of all 8 atoms:
1 Ir 0.4946 0.1250 0.2500  2 Cl 2.26
2 Ir 0.2554 0.6250 0.2500  2 Cl 2.26
3 Ir 0.3750 0.5054 0.7500  2 Cl 2.26
4 Ir 0.8750 0.7446 0.7500  2 Cl 2.26
5 Bi 0.0000 0.0000 0.0000  4 Ir 2.88
6 Bi 0.7500 0.2500 0.5000  4 Ir 2.88
7 Cl 0.5000 0.5000 0.0000  4 Ir 2.26
8 Cl 0.2500 0.7500 0.5000  4 Ir 2.26

Symmetry: I-42d (122)
Magnetic moment in Bohr magnetons per cell: 0.0
Crystal system: tetragonal

=====

--- ii ---
A relaxed structure of BiIr2Cl. Source: the Alexandria database, functional PBE.

Unit cell a=4.6873 b=4.6873 c=4.6873 alpha=60.00 beta=60.00 gamma=60.00
With the nearest neighbours (Å) after each atom.
Fractional coordinates of all 4 atoms:
1 Ir 0.2500 0.2500 0.2500  4 Bi 2.87, 4 Cl 2.87
2 Ir 0.7500 0.7500 0.7500  4 Bi 2.87, 4 Cl 2.87
3 Bi 0.5000 0.5000 0.5000  8 Ir 2.87
4 Cl 0.0000 0.0000 0.0000  8 Ir 2.87

Symmetry: Fm-3m (225)
Magnetic moment in Bohr magnetons per cell: 0.0
Crystal system: cubic

=====

Stability comparison, relative energies in meV/atom: i 0; ii 213